No. 1
Here is KMgRu2 after structural relaxation from the Alexandria database. Energies are from PBE.

abc: 2.865 3.700 8.447
angles: 90.00 90.44 90.00
Positions (direct):
K 0.000 0.000 0.000
Mg 0.496 0.500 0.377
Ru 0.000 0.000 0.575
Ru 0.502 0.500 0.696

## Properties
Total energy (eV per atom): -4.91
Total magnetic moment (μB per cell): 0.0
Energy relative to the elements (kcal/mol of atoms): 9.4

***

No. 2
Here is PmMg2GaAu2 after structural relaxation from the Alexandria database. Energies are from PBE.

abc: 4.355 4.355 16.083
angles: 90.00 90.00 90.00
Positions (direct):
Pm 0.000 0.000 0.000
Pm 0.500 0.500 0.500
Mg 0.000 0.500 0.250
Mg 0.000 0.500 0.750
Mg 0.500 0.000 0.250
Mg 0.500 0.000 0.750
Ga 0.000 0.000 0.500
Ga 0.500 0.500 0.000
Au 0.000 0.000 0.348
Au 0.000 0.000 0.652
Au 0.500 0.500 0.152
Au 0.500 0.500 0.848

## Properties
Total energy (eV per atom): -3.22
Total magnetic moment (μB per cell): 0.0
Energy relative to the elements (kcal/mol of atoms): -7.0

***

Question: Which value of total energy does entry 2 give?
Answer: -3.22 eV per atom